# 1
The following is a DFT calculation (GGA-PBE) of crystalline KNaLi2Pb at its relaxed geometry.

Results
For the density of states at the Fermi level, the calculation gives 0.1790 states/eV per atom. Its crystal system is tetragonal. The uncorrected energy is -10.43 eV/cell. The calculation puts the mass density at 2649 kg/m3. As for the space-group type: P4/mmm (123). The calculation puts the formation energy at -0.096 eV/atom.

Lattice parameters (Å, degrees): 5.467 5.467 5.939 90.00 90.00 90.00
Element x y z (fractional)
K (0.000, 0.000, 0.000)
Na (0.500, 0.500, 0.000)
Li (0.000, 0.500, 0.500)
Li (0.500, 0.000, 0.500)
Pb (0.500, 0.500, 0.500)

---

# 2
The following is a DFT calculation (GGA-PBE) of crystalline Y3Ni at its relaxed geometry.

Results
For the density of states at the Fermi level, the calculation gives 1.4117 states/eV per atom. Its crystal system is hexagonal. The uncorrected energy is -98.68 eV/cell. The calculation puts the mass density at 5344 kg/m3. As for the space-group type: P6_3/mmc (194). The calculation puts the formation energy at 0.126 eV/atom.

Lattice parameters (Å, degrees): 6.727 6.727 10.321 90.00 90.00 120.00
Element x y z (fractional)
Y (0.000, 0.500, 0.000)
Y (0.000, 0.500, 0.500)
Y (0.156, 0.313, 0.250)
Y (0.156, 0.844, 0.250)
Y (0.313, 0.156, 0.750)
Y (0.500, 0.000, 0.000)
Y (0.500, 0.000, 0.500)
Y (0.500, 0.500, 0.000)
Y (0.500, 0.500, 0.500)
Y (0.687, 0.844, 0.250)
Y (0.844, 0.156, 0.750)
Y (0.844, 0.687, 0.750)
Ni (0.000, 0.000, 0.000)
Ni (0.000, 0.000, 0.500)
Ni (0.333, 0.667, 0.750)
Ni (0.667, 0.333, 0.250)